# PBE Ta2TeRu, optimized geometry
# DOS at the Fermi energy in states/eV/atom: 0.74
# Formation energy from raw total energies in eV/atom: 0.146
# Volume in Å³/f.u.: 71.4
data_Ta2TeRu
_symmetry_space_group_name_H-M 'P m m m'
_symmetry_Int_Tables_number 47
_cell_length_a 3.060
_cell_length_b 4.242
_cell_length_c 5.502
_cell_angle_alpha 90.00
_cell_angle_beta 90.00
_cell_angle_gamma 90.00
loop_
_symmetry_equiv_pos_as_xyz
'x,y,z'
'-x,-y,-z'
'-x,-y,z'
'x,y,-z'
'x,-y,-z'
'-x,y,z'
'-x,y,-z'
'x,-y,z'
loop_
_atom_site_label
_atom_site_type_symbol
_atom_site_fract_x
_atom_site_fract_y
_atom_site_fract_z
Ta1 Ta 0.000 0.000 0.241
Te1 Te 0.500 0.500 0.500
Ru1 Ru 0.500 0.500 0.000



# PBE Ta2TeRu, optimized geometry
# DOS at the Fermi energy in states/eV/atom: 0.72
# Formation energy from raw total energies in eV/atom: 0.140
# Volume in Å³/f.u.: 72.7
data_Ta2TeRu
_symmetry_space_group_name_H-M 'P 1 2/m 1'
_symmetry_Int_Tables_number 10
_cell_length_a 3.155
_cell_length_b 4.041
_cell_length_c 5.815
_cell_angle_alpha 90.00
_cell_angle_beta 101.24
_cell_angle_gamma 90.00
loop_
_symmetry_equiv_pos_as_xyz
'x,y,z'
'-x,-y,-z'
'-x,y,-z'
'x,-y,z'
loop_
_atom_site_label
_atom_site_type_symbol
_atom_site_fract_x
_atom_site_fract_y
_atom_site_fract_z
Ta1 Ta 0.029 0.000 0.271
Te1 Te 0.500 0.500 0.000
Ru1 Ru 0.500 0.500 0.500



# PBE TaTe2Ru, optimized geometry
# DOS at the Fermi energy in states/eV/atom: 0.77
# Relative energy among the computed polymorphs in eV/atom: 0.694
# Formation energy from raw total energies in eV/atom: 0.533
# Volume in Å³/f.u.: 87.6
data_TaTe2Ru
_symmetry_space_group_name_H-M 'R -3 m'
_symmetry_Int_Tables_number 166
_symmetry_space_group_name_Hall '-R 3 2"'
_cell_length_a 3.3148
_cell_length_b 3.3148
_cell_length_c 27.6173
_cell_angle_alpha 90.00
_cell_angle_beta 90.00
_cell_angle_gamma 120.00
loop_
_atom_site_label
_atom_site_type_symbol
_atom_site_fract_x
_atom_site_fract_y
_atom_site_fract_z
Ta1 Ta 0.0000 0.0000 0.0000
Te1 Te 0.0000 0.0000 0.0990
Ru1 Ru 0.0000 0.0000 0.5000



# PBE TaTe2Ru, optimized geometry
# DOS at the Fermi energy in states/eV/atom: 1.24
# Relative energy among the computed polymorphs in eV/atom: 0.863
# Formation energy from raw total energies in eV/atom: 0.703
# Volume in Å³/f.u.: 81.2
data_TaTe2Ru
_symmetry_space_group_name_H-M 'F -4 3 m'
_symmetry_Int_Tables_number 216
_symmetry_space_group_name_Hall 'F -4 2 3'
_cell_length_a 6.874
_cell_length_b 6.874
_cell_length_c 6.874
_cell_angle_alpha 90.00
_cell_angle_beta 90.00
_cell_angle_gamma 90.00
loop_
_atom_site_label
_atom_site_type_symbol
_atom_site_fract_x
_atom_site_fract_y
_atom_site_fract_z
Ta1 Ta 0.000 0.000 0.000
Te1 Te 0.000 0.000 0.500
Te2 Te 0.250 0.250 0.250
Ru1 Ru 0.250 0.250 0.750



The total DFT energy (no corrections) results, record by record, are as follows: -8.88, -8.89, -6.32, -6.15 eV per atom.